Record 1
# AlZn2Au6 PBE optimized geometry
# E_tot ... -27.69 eV for the cell shown
# Volume ... 153.05 Å³/f.u.
# M_tot ... 0.0 μB per formula unit
# Density of states at the Fermi level ... 0.2355 states/eV/atom
data_AlZn2Au6
_cell_length_a 4.6075
_cell_length_b 5.4857
_cell_length_c 7.0588
_cell_angle_alpha 81.89
_cell_angle_beta 70.95
_cell_angle_gamma 65.17
_space_group_name_H-M_alt 'P 1'
_space_group_IT_number 1
loop_
_space_group_symop_operation_xyz
'x,y,z'
loop_
_atom_site_label
_atom_site_fract_x
_atom_site_fract_y
_atom_site_fract_z
_atom_site_occupancy
Au1 0.6808 0.7988 0.8395 1
Au2 0.5524 0.6043 0.2909 1
Au3 0.4476 0.3957 0.7091 1
Au4 0.3192 0.2012 0.1605 1
Au5 0.8172 0.9966 0.3690 1
Au6 0.1828 0.0034 0.6310 1
Zn1 0.1239 0.7152 0.0370 1
Zn2 0.8761 0.2848 0.9630 1
Al1 0.0000 0.5000 0.5000 1

---

Record 2
# Al2ZnAu PBE optimized geometry
# E_tot ... -23.72 eV for the cell shown
# Volume ... 75.00 Å³/f.u.
# M_tot ... 0.0 μB per formula unit
# Density of states at the Fermi level ... 0.3595 states/eV/atom
data_Al2ZnAu
_cell_length_a 7.4569
_cell_length_b 7.4569
_cell_length_c 5.9229
_cell_angle_alpha 50.99
_cell_angle_beta 50.99
_cell_angle_gamma 90.00
_space_group_name_H-M_alt 'P 1'
_space_group_IT_number 1
loop_
_space_group_symop_operation_xyz
'x,y,z'
loop_
_atom_site_label
_atom_site_fract_x
_atom_site_fract_y
_atom_site_fract_z
_atom_site_occupancy
Al1 0.6442 0.1250 0.2500 1
Al2 0.1058 0.6250 0.2500 1
Al3 0.8750 0.8942 0.7500 1
Al4 0.3750 0.3558 0.7500 1
Zn1 0.2500 0.7500 0.5000 1
Zn2 0.5000 0.5000 0.0000 1
Au1 0.0000 0.0000 0.0000 1
Au2 0.7500 0.2500 0.5000 1

---

Record 3
# AlZn2Au PBE optimized geometry
# E_tot ... -10.13 eV for the cell shown
# Volume ... 65.08 Å³/f.u.
# M_tot ... 0.0 μB per formula unit
# Density of states at the Fermi level ... 0.2332 states/eV/atom
data_AlZn2Au
_cell_length_a 4.7356
_cell_length_b 4.7356
_cell_length_c 4.4827
_cell_angle_alpha 79.69
_cell_angle_beta 79.69
_cell_angle_gamma 41.26
_space_group_name_H-M_alt 'P 1'
_space_group_IT_number 1
loop_
_space_group_symop_operation_xyz
'x,y,z'
loop_
_atom_site_label
_atom_site_fract_x
_atom_site_fract_y
_atom_site_fract_z
_atom_site_occupancy
Zn1 0.9998 0.9998 0.9943 1
Zn2 0.5002 0.5002 0.5057 1
Au1 0.2500 0.2500 0.2500 1
Al1 0.7500 0.7500 0.7500 1

---

Record 4
# AlZn2Au PBE optimized geometry
# E_tot ... -9.74 eV for the cell shown
# Volume ... 64.41 Å³/f.u.
# M_tot ... 0.0 μB per formula unit
# Density of states at the Fermi level ... 0.7254 states/eV/atom
data_AlZn2Au
_cell_length_a 4.4994
_cell_length_b 4.4994
_cell_length_c 4.4994
_cell_angle_alpha 60.00
_cell_angle_beta 60.00
_cell_angle_gamma 60.00
_space_group_name_H-M_alt 'P 1'
_space_group_IT_number 1
loop_
_space_group_symop_operation_xyz
'x,y,z'
loop_
_atom_site_label
_atom_site_fract_x
_atom_site_fract_y
_atom_site_fract_z
_atom_site_occupancy
Zn1 0.2500 0.2500 0.2500 1
Zn2 0.0000 0.0000 0.0000 1
Au1 0.7500 0.7500 0.7500 1
Al1 0.5000 0.5000 0.5000 1

---

Record 5
# AlZn2Au PBE optimized geometry
# E_tot ... -9.87 eV for the cell shown
# Volume ... 65.34 Å³/f.u.
# M_tot ... 0.0 μB per formula unit
# Density of states at the Fermi level ... 0.1458 states/eV/atom
data_AlZn2Au
_cell_length_a 8.9572
_cell_length_b 8.9572
_cell_length_c 8.9572
_cell_angle_alpha 18.82
_cell_angle_beta 18.82
_cell_angle_gamma 18.82
_space_group_name_H-M_alt 'P 1'
_space_group_IT_number 1
loop_
_space_group_symop_operation_xyz
'x,y,z'
loop_
_atom_site_label
_atom_site_fract_x
_atom_site_fract_y
_atom_site_fract_z
_atom_site_occupancy
Zn1 0.0001 0.0001 0.0001 1
Zn2 0.4999 0.4999 0.4999 1
Al1 0.2500 0.2500 0.2500 1
Au1 0.7500 0.7500 0.7500 1

---

Record 6
# AlZn3Au7 PBE optimized geometry
# E_tot ... -31.81 eV for the cell shown
# Volume ... 199.92 Å³/f.u.
# M_tot ... 0.0 μB per formula unit
# Density of states at the Fermi level ... 0.2241 states/eV/atom
data_AlZn3Au7
_cell_length_a 5.0766
_cell_length_b 6.9523
_cell_length_c 6.9523
_cell_angle_alpha 88.72
_cell_angle_beta 114.48
_cell_angle_gamma 114.48
_space_group_name_H-M_alt 'P 1'
_space_group_IT_number 1
loop_
_space_group_symop_operation_xyz
'x,y,z'
loop_
_atom_site_label
_atom_site_fract_x
_atom_site_fract_y
_atom_site_fract_z
_atom_site_occupancy
Al1 0.5000 0.5000 0.5000 1
Zn1 0.0000 0.2304 0.7696 1
Zn2 0.0000 0.7696 0.2304 1
Zn3 0.5000 0.0000 0.0000 1
Au1 0.3335 0.0594 0.5970 1
Au2 0.0000 0.5000 0.5000 1
Au3 0.7583 0.8160 0.8160 1
Au4 0.6665 0.4030 0.9406 1
Au5 0.3335 0.5970 0.0594 1
Au6 0.6665 0.9406 0.4030 1
Au7 0.2417 0.1840 0.1840 1

---

Record 7
# AlZn5Au5 PBE optimized geometry
# E_tot ... -28.42 eV for the cell shown
# Volume ... 187.43 Å³/f.u.
# M_tot ... 0.0 μB per formula unit
# Density of states at the Fermi level ... 0.3308 states/eV/atom
data_AlZn5Au5
_cell_length_a 5.4006
_cell_length_b 8.9055
_cell_length_c 8.8951
_cell_angle_alpha 36.04
_cell_angle_beta 59.39
_cell_angle_gamma 48.28
_space_group_name_H-M_alt 'P 1'
_space_group_IT_number 1
loop_
_space_group_symop_operation_xyz
'x,y,z'
loop_
_atom_site_label
_atom_site_fract_x
_atom_site_fract_y
_atom_site_fract_z
_atom_site_occupancy
Au1 0.0021 0.0861 0.6363 1
Au2 0.5000 0.0000 0.0000 1
Au3 0.9979 0.9139 0.3637 1
Au4 0.7615 0.5134 0.8305 1
Au5 0.2385 0.4866 0.1695 1
Zn1 0.7217 0.4891 0.1772 1
Zn2 0.4153 0.9910 0.3450 1
Zn3 0.0000 0.5000 0.5000 1
Zn4 0.5847 0.0090 0.6550 1
Zn5 0.2783 0.5109 0.8228 1
Al1 0.0000 0.0000 0.0000 1

---

Record 8
# Al2ZnAu2 PBE optimized geometry
# Excess energy over the best structure of this formula in the dataset ... 0.73 eV per formula unit
# E_tot ... -32.48 eV for the cell shown
# Volume ... 87.50 Å³/f.u.
# M_tot ... 0.0 μB per formula unit
# Density of states at the Fermi level ... 0.2330 states/eV/atom
data_Al2ZnAu2
_cell_length_a 7.1508
_cell_length_b 7.1508
_cell_length_c 3.4223
_cell_angle_alpha 90.00
_cell_angle_beta 90.00
_cell_angle_gamma 90.00
_space_group_name_H-M_alt 'P 1'
_space_group_IT_number 1
loop_
_space_group_symop_operation_xyz
'x,y,z'
loop_
_atom_site_label
_atom_site_fract_x
_atom_site_fract_y
_atom_site_fract_z
_atom_site_occupancy
Al1 0.8501 0.3501 0.5000 1
Al2 0.6499 0.8501 0.5000 1
Al3 0.1499 0.6499 0.5000 1
Al4 0.3501 0.1499 0.5000 1
Au1 0.6522 0.1522 0.0000 1
Au2 0.3478 0.8478 0.0000 1
Au3 0.1522 0.3478 0.0000 1
Au4 0.8478 0.6522 0.0000 1
Zn1 0.5000 0.5000 0.0000 1
Zn2 0.0000 0.0000 0.0000 1

---

Record 9
# Al2Zn2Au5 PBE optimized geometry
# Excess energy over the best structure of this formula in the dataset ... 0.43 eV per formula unit
# E_tot ... -56.54 eV for the cell shown
# Volume ... 162.00 Å³/f.u.
# M_tot ... 0.0 μB per formula unit
# Density of states at the Fermi level ... 0.4458 states/eV/atom
data_Al2Zn2Au5
_cell_length_a 7.2013
_cell_length_b 5.6731
_cell_length_c 9.1600
_cell_angle_alpha 108.04
_cell_angle_beta 113.15
_cell_angle_gamma 90.00
_space_group_name_H-M_alt 'P 1'
_space_group_IT_number 1
loop_
_space_group_symop_operation_xyz
'x,y,z'
loop_
_atom_site_label
_atom_site_fract_x
_atom_site_fract_y
_atom_site_fract_z
_atom_site_occupancy
Zn1 0.8961 0.5081 0.6967 1
Zn2 0.3006 0.0081 0.6967 1
Zn3 0.1039 0.8113 0.3033 1
Zn4 0.6994 0.3113 0.3033 1
Al1 0.5000 0.4221 0.0000 1
Al2 0.6492 0.7821 0.5000 1
Al3 0.3508 0.2821 0.5000 1
Al4 0.0000 0.9221 0.0000 1
Au1 0.9320 0.0642 0.5000 1
Au2 0.5833 0.6939 0.7435 1
Au3 0.2744 0.7477 0.8916 1
Au4 0.6602 0.1939 0.7435 1
Au5 0.7256 0.8562 0.1084 1
Au6 0.3398 0.4504 0.2565 1
Au7 0.4167 0.9504 0.2565 1
Au8 0.8828 0.3562 0.1084 1
Au9 0.0680 0.5642 0.5000 1
Au10 0.1172 0.2477 0.8916 1

---

Record 10
# AlZn2Au PBE optimized geometry
# E_tot ... -9.96 eV for the cell shown
# Volume ... 65.64 Å³/f.u.
# M_tot ... 0.0 μB per formula unit
# Density of states at the Fermi level ... 0.2247 states/eV/atom
data_AlZn2Au
_cell_length_a 8.6304
_cell_length_b 8.6304
_cell_length_c 8.6304
_cell_angle_alpha 19.98
_cell_angle_beta 19.98
_cell_angle_gamma 19.98
_space_group_name_H-M_alt 'P 1'
_space_group_IT_number 1
loop_
_space_group_symop_operation_xyz
'x,y,z'
loop_
_atom_site_label
_atom_site_fract_x
_atom_site_fract_y
_atom_site_fract_z
_atom_site_occupancy
Al1 0.5003 0.5003 0.5003 1
Zn1 0.9983 0.9983 0.9983 1
Zn2 0.2496 0.2496 0.2496 1
Au1 0.7518 0.7518 0.7518 1

---

Record 11
# AlZn8Au2 PBE optimized geometry
# E_tot ... -20.72 eV for the cell shown
# Volume ... 192.80 Å³/f.u.
# M_tot ... 0.0 μB per formula unit
# Density of states at the Fermi level ... 0.3005 states/eV/atom
data_AlZn8Au2
_cell_length_a 4.5221
_cell_length_b 6.9883
_cell_length_c 6.9883
_cell_angle_alpha 62.71
_cell_angle_beta 80.81
_cell_angle_gamma 80.81
_space_group_name_H-M_alt 'P 1'
_space_group_IT_number 1
loop_
_space_group_symop_operation_xyz
'x,y,z'
loop_
_atom_site_label
_atom_site_fract_x
_atom_site_fract_y
_atom_site_fract_z
_atom_site_occupancy
Zn1 0.6686 0.6482 0.6482 1
Zn2 0.3314 0.3518 0.3518 1
Zn3 0.8847 0.2366 0.2366 1
Zn4 0.1153 0.7634 0.7634 1
Zn5 0.2121 0.3844 0.7429 1
Zn6 0.2121 0.7429 0.3844 1
Zn7 0.7879 0.2571 0.6156 1
Zn8 0.7879 0.6156 0.2571 1
Au1 0.4417 0.1248 0.1248 1
Au2 0.5583 0.8752 0.8752 1
Al1 0.0000 0.0000 0.0000 1

---

Record 12
# AlZn3Au12 PBE optimized geometry
# E_tot ... -48.96 eV for the cell shown
# Volume ... 276.27 Å³/f.u.
# M_tot ... 0.0 μB per formula unit
# Density of states at the Fermi level ... 0.3736 states/eV/atom
data_AlZn3Au12
_cell_length_a 4.0536
_cell_length_b 4.0536
_cell_length_c 16.8140
_cell_angle_alpha 90.00
_cell_angle_beta 90.00
_cell_angle_gamma 90.00
_space_group_name_H-M_alt 'P 1'
_space_group_IT_number 1
loop_
_space_group_symop_operation_xyz
'x,y,z'
loop_
_atom_site_label
_atom_site_fract_x
_atom_site_fract_y
_atom_site_fract_z
_atom_site_occupancy
Au1 0.5000 0.0000 0.1239 1
Au2 0.0000 0.5000 0.8761 1
Au3 0.5000 0.0000 0.8761 1
Au4 0.5000 0.5000 0.2500 1
Au5 0.0000 0.5000 0.3750 1
Au6 0.0000 0.5000 0.1239 1
Au7 0.5000 0.0000 0.6250 1
Au8 0.0000 0.5000 0.6250 1
Au9 0.5000 0.0000 0.3750 1
Au10 0.5000 0.5000 0.5000 1
Au11 0.5000 0.5000 0.7500 1
Au12 0.5000 0.5000 0.0000 1
Zn1 0.0000 0.0000 0.7494 1
Zn2 0.0000 0.0000 0.5000 1
Zn3 0.0000 0.0000 0.2506 1
Al1 0.0000 0.0000 0.0000 1

---

The lowest density of states at the Fermi level belongs to which entry? number 5